No. 1
The following is a DFT calculation (PBEsol) of crystalline Sr2LiTl2 at its relaxed geometry.

Unit cell a=8.657 b=8.657 c=4.409 alpha=90.00 beta=90.00 gamma=90.00
Fractional coordinates of all 10 atoms:
Sr (0.164, 0.336, 0.000)
Sr (0.336, 0.836, 0.000)
Sr (0.664, 0.164, 0.000)
Sr (0.836, 0.664, 0.000)
Li (0.000, 0.000, 0.500)
Li (0.500, 0.500, 0.500)
Tl (0.135, 0.635, 0.500)
Tl (0.365, 0.135, 0.500)
Tl (0.635, 0.865, 0.500)
Tl (0.865, 0.365, 0.500)

Calculated values
Formation energy from the elements (meV/atom): -313
Crystal system: tetragonal
Calculated total energy (eV per atom): -2.494
N(E_F) (states/eV/f.u.): 3.30

No. 2
The following is a DFT calculation (PBEsol) of crystalline SrLi4Tl at its relaxed geometry.

Unit cell a=5.714 b=5.714 c=5.714 alpha=60.00 beta=60.00 gamma=60.00
Fractional coordinates of all 6 atoms:
Sr (0.000, 0.000, 0.000)
Li (0.133, 0.622, 0.622)
Li (0.622, 0.133, 0.622)
Li (0.622, 0.622, 0.133)
Li (0.622, 0.622, 0.622)
Tl (0.250, 0.250, 0.250)

Calculated values
Formation energy from the elements (meV/atom): -156
Crystal system: cubic
Calculated total energy (eV per atom): -2.212
N(E_F) (states/eV/f.u.): 3.10

No. 3
The following is a DFT calculation (PBEsol) of crystalline SrLiTl2 at its relaxed geometry.

Unit cell a=6.295 b=6.295 c=6.295 alpha=44.79 beta=44.79 gamma=44.79
Fractional coordinates of all 4 atoms:
Sr (0.000, 0.000, 0.000)
Li (0.500, 0.500, 0.500)
Tl (0.213, 0.213, 0.213)
Tl (0.787, 0.787, 0.787)

Calculated values
Formation energy from the elements (meV/atom): -358
Crystal system: trigonal
Calculated total energy (eV per atom): -2.625
N(E_F) (states/eV/f.u.): 2.32

No. 4
The following is a DFT calculation (PBEsol) of crystalline SrLiTl2 at its relaxed geometry.

Unit cell a=5.343 b=5.343 c=3.918 alpha=90.00 beta=90.00 gamma=91.02
Fractional coordinates of all 4 atoms:
Sr (0.000, 0.000, 0.000)
Li (0.500, 0.500, 0.000)
Tl (0.000, 0.500, 0.500)
Tl (0.500, 0.000, 0.500)

Calculated values
Formation energy from the elements (meV/atom): -274
Crystal system: orthorhombic
Calculated total energy (eV per atom): -2.541
N(E_F) (states/eV/f.u.): 2.32

No. 5
The following is a DFT calculation (PBEsol) of crystalline Sr2Li2Tl at its relaxed geometry.

Unit cell a=10.624 b=10.624 c=10.624 alpha=158.48 beta=158.48 gamma=30.62
Fractional coordinates of all 5 atoms:
Sr (0.099, 0.099, 0.000)
Sr (0.901, 0.901, 0.000)
Li (0.250, 0.750, 0.500)
Li (0.750, 0.250, 0.500)
Tl (0.500, 0.500, 0.000)

Calculated values
Formation energy from the elements (meV/atom): -127
Crystal system: tetragonal
Calculated total energy (eV per atom): -2.176
N(E_F) (states/eV/f.u.): 3.92

No. 6
The following is a DFT calculation (PBEsol) of crystalline Sr2LiW2 at its relaxed geometry.

Unit cell a=11.383 b=11.383 c=11.383 alpha=161.61 beta=161.61 gamma=26.12
Fractional coordinates of all 5 atoms:
Sr (0.124, 0.124, 0.000)
Sr (0.876, 0.876, 0.000)
Li (0.500, 0.500, 0.000)
W (0.250, 0.750, 0.500)
W (0.750, 0.250, 0.500)

Calculated values
Formation energy from the elements (meV/atom): 792
Crystal system: tetragonal
Calculated total energy (eV per atom): -5.861
N(E_F) (states/eV/f.u.): 4.83

No. 7
The following is a DFT calculation (PBEsol) of crystalline Sr3LiW at its relaxed geometry.

Unit cell a=5.829 b=5.829 c=5.829 alpha=90.00 beta=90.00 gamma=90.00
Fractional coordinates of all 5 atoms:
Sr (0.000, 0.000, 0.500)
Sr (0.000, 0.500, 0.000)
Sr (0.500, 0.000, 0.000)
Li (0.500, 0.500, 0.500)
W (0.000, 0.000, 0.000)

Calculated values
Formation energy from the elements (meV/atom): 986
Crystal system: cubic
Calculated total energy (eV per atom): -3.273
N(E_F) (states/eV/f.u.): 3.13

No. 8
The following is a DFT calculation (PBEsol) of crystalline SrLi3W at its relaxed geometry.

Unit cell a=4.495 b=4.495 c=4.495 alpha=90.00 beta=90.00 gamma=90.00
Fractional coordinates of all 5 atoms:
Sr (0.000, 0.000, 0.000)
Li (0.000, 0.000, 0.500)
Li (0.000, 0.500, 0.000)
Li (0.500, 0.000, 0.000)
W (0.500, 0.500, 0.500)

Calculated values
Formation energy from the elements (meV/atom): 1872
Crystal system: cubic
Calculated total energy (eV per atom): -2.438
N(E_F) (states/eV/f.u.): 5.84

No. 9
The following is a DFT calculation (PBEsol) of crystalline SrLi2Y at its relaxed geometry.

Unit cell a=6.267 b=6.267 c=5.782 alpha=107.50 beta=107.50 gamma=33.04
Fractional coordinates of all 4 atoms:
Sr (0.000, 0.000, 0.000)
Li (0.241, 0.241, 0.817)
Li (0.548, 0.548, 0.532)
Y (0.793, 0.793, 0.362)

Calculated values
Energy above the lowest structure with this stoichiometry (eV/atom): 0.000
Formation energy from the elements (meV/atom): 170
Crystal system: monoclinic
Calculated total energy (eV per atom): -2.979
N(E_F) (states/eV/f.u.): 3.45

No. 10
The following is a DFT calculation (PBEsol) of crystalline SrLi2Y at its relaxed geometry.

Unit cell a=6.879 b=6.879 c=6.879 alpha=104.45 beta=104.45 gamma=120.07
Fractional coordinates of all 8 atoms:
Sr (0.000, 0.000, 0.000)
Sr (0.750, 0.250, 0.500)
Li (0.137, 0.625, 0.012)
Li (0.375, 0.387, 0.512)
Li (0.613, 0.125, 0.988)
Li (0.875, 0.863, 0.488)
Y (0.250, 0.750, 0.500)
Y (0.500, 0.500, 0.000)

Calculated values
Energy above the lowest structure with this stoichiometry (eV/atom): 0.224
Formation energy from the elements (meV/atom): 395
Crystal system: tetragonal
Calculated total energy (eV per atom): -2.754
N(E_F) (states/eV/f.u.): 4.71

No. 11
The following is a DFT calculation (PBEsol) of crystalline SrLi2Y at its relaxed geometry.

Unit cell a=6.685 b=6.685 c=6.685 alpha=148.72 beta=129.87 gamma=60.28
Fractional coordinates of all 4 atoms:
Sr (0.000, 0.000, 0.000)
Li (0.550, 0.550, 0.000)
Li (0.738, 0.238, 0.500)
Y (0.294, 0.794, 0.500)

Calculated values
Energy above the lowest structure with this stoichiometry (eV/atom): 0.010
Formation energy from the elements (meV/atom): 180
Crystal system: orthorhombic
Calculated total energy (eV per atom): -2.969
N(E_F) (states/eV/f.u.): 4.10

No. 12
The following is a DFT calculation (PBEsol) of crystalline SrLi2Y at its relaxed geometry.

Unit cell a=5.776 b=5.776 c=6.585 alpha=97.02 beta=97.02 gamma=35.20
Fractional coordinates of all 4 atoms:
Sr (0.000, 0.000, 0.000)
Li (0.244, 0.244, 0.706)
Li (0.756, 0.756, 0.294)
Y (0.500, 0.500, 0.500)

Calculated values
Energy above the lowest structure with this stoichiometry (eV/atom): 0.076
Formation energy from the elements (meV/atom): 246
Crystal system: monoclinic
Calculated total energy (eV per atom): -2.903
N(E_F) (states/eV/f.u.): 3.87